No. 1
# OsRhAu | Alexandria | PBE | relaxed
# Total moment ... 0.00 μB/cell
# Fermi-level density of states ... 2.78 states/eV/f.u.
# Formation enthalpy at 0 K ... 0.09 eV per atom
# Polymorph energy (0 for the lowest one) ... 0.0 meV/atom
# Total DFT energy (no corrections) ... -7.196 eV per atom
data_OsRhAu
_chemical_formula_sum 'Os2 Rh2 Au2'
_cell_length_a 2.762
_cell_length_b 2.762
_cell_length_c 12.157
_cell_angle_alpha 90.00
_cell_angle_beta 90.00
_cell_angle_gamma 90.00
_symmetry_space_group_name_H-M 'P 4/n m m'
_symmetry_Int_Tables_number 129
loop_
_symmetry_equiv_pos_as_xyz
'x,y,z'
'-x,-y,-z'
'-y+1/2,x,z'
'y+1/2,-x,-z'
'-x+1/2,-y+1/2,z'
'x+1/2,y+1/2,-z'
'y,-x+1/2,z'
'-y,x+1/2,-z'
'x+1/2,-y,-z'
'-x+1/2,y,z'
'-y,-x,-z'
'y,x,z'
'-x,y+1/2,-z'
'x,-y+1/2,z'
'y+1/2,x+1/2,-z'
'-y+1/2,-x+1/2,z'
loop_
_atom_site_label
_atom_site_fract_x
_atom_site_fract_y
_atom_site_fract_z
Os1 0.250 0.250 0.078
Rh1 0.250 0.250 0.771
Au1 0.250 0.250 0.405

No. 2
# Pd5I3Br12 | Alexandria | PBE | relaxed
# Total moment ... 0.01 μB/cell
# Fermi-level density of states ... 26.12 states/eV/f.u.
# Total DFT energy (no corrections) ... -2.491 eV per atom
data_Pd5I3Br12
_chemical_formula_sum 'Pd40 I24 Br96'
_cell_length_a 17.374
_cell_length_b 17.374
_cell_length_c 17.374
_cell_angle_alpha 90.00
_cell_angle_beta 90.00
_cell_angle_gamma 90.00
_symmetry_space_group_name_H-M 'I a -3 d'
_symmetry_Int_Tables_number 230
_symmetry_space_group_name_Hall '-I 4bd 2c 3'
loop_
_atom_site_label
_atom_site_fract_x
_atom_site_fract_y
_atom_site_fract_z
Pd1 0.000 0.000 0.000
Pd2 0.000 0.250 0.375
I1 0.000 0.250 0.125
Br1 0.019 0.150 0.977

No. 3
# La2In2Ir | Alexandria | PBE | relaxed
# Total moment ... 0.00 μB/cell
# Fermi-level density of states ... 7.21 states/eV/f.u.
# Formation enthalpy at 0 K ... -0.31 eV per atom
# Total DFT energy (no corrections) ... -5.152 eV per atom
data_La2In2Ir
_chemical_formula_sum 'La4 In4 Ir2'
_cell_length_a 7.313
_cell_length_b 7.313
_cell_length_c 4.952
_cell_angle_alpha 90.00
_cell_angle_beta 90.00
_cell_angle_gamma 90.00
_symmetry_space_group_name_H-M 'P 4/m b m'
_symmetry_Int_Tables_number 127
_symmetry_space_group_name_Hall '-P 4 2ab'
loop_
_atom_site_label
_atom_site_fract_x
_atom_site_fract_y
_atom_site_fract_z
La1 0.164 0.336 0.000
In1 0.145 0.645 0.500
Ir1 0.000 0.000 0.500

No. 4
# CeDy2ThSb4 | Alexandria | PBE | relaxed
# Total moment ... 0.92 μB/cell
# Fermi-level density of states ... 8.57 states/eV/f.u.
# Total DFT energy (no corrections) ... -5.948 eV per atom
data_CeDy2ThSb4
_chemical_formula_sum 'Ce1 Dy2 Th1 Sb4'
_cell_length_a 7.681
_cell_length_b 4.453
_cell_length_c 7.708
_cell_angle_alpha 90.00
_cell_angle_beta 109.52
_cell_angle_gamma 90.00
_symmetry_space_group_name_H-M 'P 1 2/m 1'
_symmetry_Int_Tables_number 10
loop_
_symmetry_equiv_pos_as_xyz
'x,y,z'
'-x,-y,-z'
'-x,y,-z'
'x,-y,z'
loop_
_atom_site_label
_atom_site_fract_x
_atom_site_fract_y
_atom_site_fract_z
Ce1 0.000 0.000 0.000
Dy1 0.500 0.000 0.500
Dy2 0.500 0.500 0.000
Th1 0.000 0.500 0.500
Sb1 0.258 0.000 0.753
Sb2 0.258 0.500 0.252